Density functional theory data (GGA-PBE) for a geometry-optimized Fe2Si structure.

Lattice parameters (Å, degrees): 3.9255 3.9255 4.8336 90.00 90.00 120.00
Positions (direct):
Fe (0.0000, 0.0000, 0.0000)
Fe (0.0000, 0.0000, 0.5000)
Fe (0.3333, 0.6667, 0.1778)
Fe (0.6667, 0.3333, 0.8222)
Si (0.3333, 0.6667, 0.6802)
Si (0.6667, 0.3333, 0.3198)

For the density of states at the Fermi level, the calculation gives 4.30 states/eV per cell. Its crystal system is trigonal. The value obtained for the formation energy from raw total energies is -0.373 eV per atom.